# Mn2InPbO6, relaxed, DFT GGA+U
data_Mn2InPbO6
_chemical_formula_sum 'Mn6 In3 Pb3 O18'
_cell_length_a 5.4757
_cell_length_b 5.4757
_cell_length_c 14.2667
_cell_angle_alpha 90.00
_cell_angle_beta 90.00
_cell_angle_gamma 120.00
_space_group_name_H-M_alt 'R 3'
_space_group_IT_number 146
_space_group_name_Hall 'R 3'
loop_
_atom_site_label
_atom_site_type_symbol
_atom_site_fract_x
_atom_site_fract_y
_atom_site_fract_z
Mn1 Mn 0.0000 0.0000 0.0000
Mn2 Mn 0.0000 0.0000 0.4914
In1 In 0.0000 0.0000 0.7072
Pb1 Pb 0.0000 0.0000 0.2214
O1 O 0.0051 0.4163 0.2600
O2 O 0.0257 0.6356 0.7532
# * total DFT energy (no corrections): -6.471 eV per atom